# 1
VASP calculation (PBEsol) on an optimized crystal structure of ZnSi2Ni3.

Unit cell a=4.473 b=4.481 c=13.463 alpha=88.53 beta=89.44 gamma=89.30
Space group P1 (No. 1)
One atom of each set of equivalent atoms:
Zn 0.000 0.000 0.000 x1
Zn 0.000 0.022 0.664 x1
Zn 0.493 0.841 0.096 x1
Zn 0.995 0.033 0.331 x1
Si 0.301 0.522 0.602 x1
Si 0.302 0.530 0.266 x1
Si 0.305 0.515 0.938 x1
Si 0.494 0.846 0.431 x1
Si 0.500 0.834 0.763 x1
Si 0.799 0.324 0.161 x1
Si 0.812 0.328 0.496 x1
Si 0.821 0.320 0.829 x1
Ni 0.005 0.809 0.500 x1
Ni 0.011 0.801 0.832 x1
Ni 0.284 0.336 0.101 x1
Ni 0.304 0.340 0.434 x1
Ni 0.309 0.331 0.764 x1
Ni 0.500 0.044 0.265 x1
Ni 0.504 0.031 0.591 x1
Ni 0.506 0.026 0.918 x1
Ni 0.776 0.538 0.335 x1
Ni 0.784 0.528 0.666 x1
Ni 0.788 0.506 0.995 x1
Ni 0.992 0.806 0.173 x1

=====

# 2
VASP calculation (PBEsol) on an optimized crystal structure of ZrSiNi.

Unit cell a=3.603 b=9.558 c=5.084 alpha=90.00 beta=90.00 gamma=90.00
Space group Cmcm (No. 63)
One atom of each set of equivalent atoms:
Zr 0.000 0.207 0.250 x4
Si 0.000 0.082 0.750 x4
Ni 0.000 0.500 0.000 x4

=====

# 3
VASP calculation (PBEsol) on an optimized crystal structure of ZrSiNi2.

Unit cell a=5.382 b=8.327 c=2.762 alpha=90.00 beta=117.03 gamma=90.00
Space group C2/m (No. 12)
One atom of each set of equivalent atoms:
Zr 0.000 0.000 0.000 x2
Si 0.000 0.500 0.000 x2
Ni 0.250 0.250 0.500 x4

=====

# 4
VASP calculation (PBEsol) on an optimized crystal structure of ZrSiNi6.

Unit cell a=7.091 b=10.183 c=10.168 alpha=90.00 beta=90.00 gamma=90.00
Space group Cmmm (No. 65)
One atom of each set of equivalent atoms:
Zr 0.000 0.000 0.246 x4
Zr 0.000 0.242 0.500 x4
Si 0.000 0.237 0.000 x4
Si 0.000 0.500 0.244 x4
Ni 0.000 0.000 0.000 x2
Ni 0.000 0.000 0.500 x2
Ni 0.000 0.252 0.238 x8
Ni 0.000 0.500 0.000 x2
Ni 0.000 0.500 0.500 x2
Ni 0.237 0.378 0.367 x16
Ni 0.239 0.373 0.118 x16

=====

# 5
VASP calculation (PBEsol) on an optimized crystal structure of ZrSiNi.

Unit cell a=3.9855 b=3.9855 c=3.2266 alpha=90.00 beta=90.00 gamma=120.00
Space group P-6m2 (No. 187)
One atom of each set of equivalent atoms:
Zr 0.0000 0.0000 0.0000 x1
Si 0.3333 0.6667 0.5000 x1
Ni 0.6667 0.3333 0.5000 x1

=====

# 6
VASP calculation (PBEsol) on an optimized crystal structure of ZrSiNi.

Unit cell a=6.421 b=3.775 c=7.220 alpha=90.00 beta=90.00 gamma=90.00
Space group Pnma (No. 62)
One atom of each set of equivalent atoms:
Zr 0.016 0.250 0.186 x4
Si 0.226 0.750 0.387 x4
Ni 0.140 0.250 0.561 x4

=====

# 7
VASP calculation (PBEsol) on an optimized crystal structure of Zr3SiNi.

Unit cell a=4.726 b=4.726 c=4.726 alpha=90.00 beta=90.00 gamma=90.00
Space group Pm-3m (No. 221)
One atom of each set of equivalent atoms:
Zr 0.000 0.000 0.500 x3
Si 0.500 0.500 0.500 x1
Ni 0.000 0.000 0.000 x1

=====

# 8
VASP calculation (PBEsol) on an optimized crystal structure of ZrSi2Ni.

Unit cell a=6.179 b=6.179 c=6.179 alpha=90.00 beta=90.00 gamma=90.00
Space group F-43m (No. 216)
One atom of each set of equivalent atoms:
Zr 0.000 0.000 0.000 x4
Si 0.000 0.000 0.500 x4
Si 0.250 0.250 0.750 x4
Ni 0.250 0.250 0.250 x4

=====

# 9
VASP calculation (PBEsol) on an optimized crystal structure of ZrSiNi2.

Unit cell a=2.8261 b=2.8261 c=24.1009 alpha=90.00 beta=90.00 gamma=120.00
Space group R3m (No. 160, hexagonal axes)
One atom of each set of equivalent atoms:
Zr 0.0000 0.0000 0.0000 x3
Si 0.0000 0.0000 0.7657 x3
Ni 0.0000 0.0000 0.2442 x3
Ni 0.0000 0.0000 0.5000 x3

=====

# 10
VASP calculation (PBEsol) on an optimized crystal structure of ZrSiNi2.

Unit cell a=4.013 b=3.189 c=8.771 alpha=90.00 beta=90.00 gamma=90.00
Space group Amm2 (No. 38)
One atom of each set of equivalent atoms:
Zr 0.000 0.000 0.000 x2
Si 0.500 0.000 0.382 x2
Ni 0.000 0.000 0.270 x2
Ni 0.500 0.000 0.675 x2

=====

# 11
VASP calculation (PBEsol) on an optimized crystal structure of ZrSiNi2.

Unit cell a=2.810 b=2.825 c=6.567 alpha=90.00 beta=90.00 gamma=90.00
Space group Pmmm (No. 47)
One atom of each set of equivalent atoms:
Zr 0.000 0.000 0.000 x1
Si 0.000 0.000 0.500 x1
Ni 0.500 0.500 0.305 x2

=====

# 12
VASP calculation (PBEsol) on an optimized crystal structure of Zr2SiNi3.

Unit cell a=4.9699 b=4.9699 c=7.7128 alpha=90.00 beta=90.00 gamma=120.00
Space group P6_3/mmc (No. 194)
One atom of each set of equivalent atoms:
Zr 0.3333 0.6667 0.0532 x4
Si 0.0000 0.0000 0.0000 x2
Ni 0.1676 0.3353 0.7500 x6

=====

# 13
VASP calculation (PBEsol) on an optimized crystal structure of ZrSi2Ni2.

Unit cell a=3.732 b=3.732 c=9.624 alpha=90.00 beta=90.00 gamma=90.00
Space group I4/mmm (No. 139)
One atom of each set of equivalent atoms:
Zr 0.000 0.000 0.000 x2
Si 0.000 0.000 0.380 x4
Ni 0.000 0.500 0.250 x4

=====

# 14
VASP calculation (PBEsol) on an optimized crystal structure of ZrSi2Ni.

Unit cell a=2.773 b=4.897 c=8.603 alpha=90.00 beta=90.00 gamma=90.00
Space group Immm (No. 71)
One atom of each set of equivalent atoms:
Zr 0.000 0.000 0.000 x2
Si 0.000 0.500 0.217 x4
Ni 0.000 0.000 0.500 x2

=====

# 15
VASP calculation (PBEsol) on an optimized crystal structure of SmNi.

Results
**Formation enthalpy at 0 K**: -33.8 kJ/mol of atoms

Unit cell a=3.702 b=10.185 c=4.243 alpha=90.00 beta=90.00 gamma=90.00
Space group Cmcm (No. 63)
One atom of each set of equivalent atoms:
Sm 0.000 0.139 0.250 x4
Ni 0.000 0.428 0.250 x4

=====

# 16
VASP calculation (PBEsol) on an optimized crystal structure of SmNi2Sn2.

Results
**Formation enthalpy at 0 K**: -48.0 kJ/mol of atoms

Unit cell a=4.347 b=4.347 c=10.283 alpha=90.00 beta=90.00 gamma=90.00
Space group I4/mmm (No. 139)
One atom of each set of equivalent atoms:
Sm 0.000 0.000 0.000 x2
Ni 0.000 0.500 0.250 x4
Sn 0.000 0.000 0.364 x4

=====

# 17
VASP calculation (PBEsol) on an optimized crystal structure of Ni3Sn4.

Results
**Formation enthalpy at 0 K**: -26.7 kJ/mol of atoms

Unit cell a=12.130 b=4.025 c=5.179 alpha=90.00 beta=105.25 gamma=90.00
Space group C2/m (No. 12)
One atom of each set of equivalent atoms:
Ni 0.000 0.000 0.000 x2
Ni 0.216 0.000 0.336 x4
Sn 0.072 0.500 0.313 x4
Sn 0.171 0.000 0.811 x4

=====

# 18
VASP calculation (PBEsol) on an optimized crystal structure of SrNiSn3.

Results
**Formation enthalpy at 0 K**: -46.1 kJ/mol of atoms

Unit cell a=4.711 b=4.711 c=10.784 alpha=90.00 beta=90.00 gamma=90.00
Space group I4mm (No. 107)
One atom of each set of equivalent atoms:
Sr 0.000 0.000 0.000 x2
Ni 0.000 0.000 0.660 x2
Sn 0.000 0.000 0.432 x2
Sn 0.000 0.500 0.250 x4

=====

# 19
VASP calculation (PBEsol) on an optimized crystal structure of SrNi2SnTe.

Unit cell a=4.710 b=4.710 c=5.958 alpha=90.00 beta=90.00 gamma=90.00
Space group P4/mmm (No. 123)
One atom of each set of equivalent atoms:
Sr 0.000 0.000 0.000 x1
Ni 0.000 0.500 0.500 x2
Sn 0.500 0.500 0.500 x1
Te 0.500 0.500 0.000 x1

=====

# 20
VASP calculation (PBEsol) on an optimized crystal structure of TaNiSn3.

Results
**Formation enthalpy at 0 K**: 103.9 kJ/mol of atoms

Unit cell a=5.271 b=5.271 c=5.271 alpha=90.00 beta=90.00 gamma=90.00
Space group Pm-3m (No. 221)
One atom of each set of equivalent atoms:
Ta 0.000 0.000 0.000 x1
Ni 0.500 0.500 0.500 x1
Sn 0.000 0.000 0.500 x3

=====

# 21
VASP calculation (PBEsol) on an optimized crystal structure of TbNiSn.

Results
**Formation enthalpy at 0 K**: -68.8 kJ/mol of atoms

Unit cell a=7.075 b=4.414 c=7.567 alpha=90.00 beta=90.00 gamma=90.00
Space group Pnma (No. 62)
One atom of each set of equivalent atoms:
Tb 0.015 0.250 0.198 x4
Ni 0.202 0.750 0.413 x4
Sn 0.184 0.250 0.586 x4

=====

# 22
VASP calculation (PBEsol) on an optimized crystal structure of TcNiSn3.

Results
**Formation enthalpy at 0 K**: 72.4 kJ/mol of atoms

Unit cell a=5.049 b=5.049 c=5.049 alpha=90.00 beta=90.00 gamma=90.00
Space group Pm-3m (No. 221)
One atom of each set of equivalent atoms:
Tc 0.000 0.000 0.000 x1
Ni 0.500 0.500 0.500 x1
Sn 0.000 0.000 0.500 x3

=====

# 23
VASP calculation (PBEsol) on an optimized crystal structure of Ni2Sn2Te.

Unit cell a=3.496 b=3.496 c=16.068 alpha=90.00 beta=90.00 gamma=90.00
Space group I4/mmm (No. 139)
One atom of each set of equivalent atoms:
Ni 0.000 0.500 0.250 x4
Sn 0.000 0.000 0.132 x4
Te 0.000 0.000 0.500 x2

=====

# 24
VASP calculation (PBEsol) on an optimized crystal structure of TiNiSn.

Results
**Formation enthalpy at 0 K**: -55.8 kJ/mol of atoms

Unit cell a=5.868 b=5.868 c=5.868 alpha=90.00 beta=90.00 gamma=90.00
Space group F-43m (No. 216)
One atom of each set of equivalent atoms:
Ti 0.000 0.000 0.000 x4
Ni 0.250 0.250 0.250 x4
Sn 0.000 0.000 0.500 x4

=====

Final energy for the records above, in order: -34.66, -23.66, -27.91, -55.48, -23.69, -23.93, -38.52, -27.28, -27.36, -29.00, -29.22, -46.54, -37.39, -28.27, -11.95, -28.41, -37.45, -23.16, -21.08, -26.10, -17.57, -26.45, -24.03, -20.47 eV per formula unit